No. 1
The following is a PBE calculation of a geometry-optimized SmY4Hg structure, from Alexandria.

```
SmY4Hg
1.0
4.412 -7.045 0.000
4.412 7.045 0.000
-2.162 0.000 5.993
Sm Y Hg
2 8 2
direct
0.105 0.895 0.750 Sm
0.895 0.105 0.250 Sm
0.110 0.322 0.861 Y
0.213 0.588 0.448 Y
0.322 0.110 0.361 Y
0.412 0.787 0.052 Y
0.588 0.213 0.948 Y
0.678 0.890 0.639 Y
0.787 0.412 0.552 Y
0.890 0.678 0.139 Y
0.500 0.500 0.250 Hg
0.500 0.500 0.750 Hg
```

Output
DOS(E_F)	18.58	states/eV/cell
E_form	-63	meV per atom
symmetry	No. 15
calculated total energy	-5.209	eV/atom

No. 2
The following is a PBE calculation of a geometry-optimized SmYHg5 structure, from Alexandria.

```
SmYHg5
1.0
4.623 0.000 0.000
0.000 4.623 0.000
0.000 0.000 8.807
Sm Y Hg
1 1 5
direct
0.000 0.000 0.000 Sm
0.500 0.500 0.500 Y
0.000 0.000 0.500 Hg
0.000 0.500 0.243 Hg
0.000 0.500 0.757 Hg
0.500 0.000 0.243 Hg
0.500 0.000 0.757 Hg
```

Output
DOS(E_F)	3.41	states/eV/cell
E_form	-279	meV per atom
symmetry	No. 123
calculated total energy	-2.092	eV/atom

No. 3
The following is a PBE calculation of a geometry-optimized SmYHg4 structure, from Alexandria.

```
SmYHg4
1.0
5.885 -1.841 0.000
5.885 1.841 0.000
-2.329 0.000 7.030
Sm Y Hg
1 1 4
direct
0.000 0.000 0.000 Sm
0.000 0.000 0.500 Y
0.330 0.330 0.169 Hg
0.331 0.331 0.661 Hg
0.669 0.669 0.339 Hg
0.670 0.670 0.831 Hg
```

Output
E above lowest polymorph	0	meV/atom
DOS(E_F)	4.26	states/eV/cell
E_form	-354	meV per atom
symmetry	No. 12
calculated total energy	-2.419	eV/atom

No. 4
The following is a PBE calculation of a geometry-optimized Sm4YHg structure, from Alexandria.

```
Sm4YHg
1.0
3.650 0.000 0.000
0.000 3.650 0.000
0.000 0.000 14.157
Sm Y Hg
4 1 1
direct
0.000 0.000 0.144 Sm
0.000 0.000 0.856 Sm
0.500 0.500 0.322 Sm
0.500 0.500 0.678 Sm
0.000 0.000 0.500 Y
0.500 0.500 0.000 Hg
```

Output
E above lowest polymorph	0	meV/atom
DOS(E_F)	7.94	states/eV/cell
E_form	-145	meV per atom
symmetry	No. 123
calculated total energy	-4.419	eV/atom

No. 5
The following is a PBE calculation of a geometry-optimized Sm2Y6Hg structure, from Alexandria.

```
Sm2Y6Hg
1.0
4.707 -8.770 0.000
4.707 8.770 0.000
0.000 0.000 3.546
Sm Y Hg
2 6 1
direct
0.181 0.819 0.000 Sm
0.819 0.181 0.000 Sm
0.163 0.485 0.500 Y
0.208 0.208 0.000 Y
0.485 0.163 0.500 Y
0.515 0.837 0.500 Y
0.792 0.792 0.000 Y
0.837 0.515 0.500 Y
0.500 0.500 0.500 Hg
```

Output
DOS(E_F)	12.68	states/eV/cell
E_form	37	meV per atom
symmetry	No. 65
calculated total energy	-5.355	eV/atom

No. 6
The following is a PBE calculation of a geometry-optimized Sm4Zn3Hg structure, from Alexandria.

```
Sm4Zn3Hg
1.0
3.654 0.000 0.000
0.000 4.653 0.000
0.000 0.000 11.916
Sm Zn Hg
4 3 1
direct
0.000 0.000 0.000 Sm
0.000 0.500 0.297 Sm
0.500 0.000 0.488 Sm
0.500 0.500 0.804 Sm
0.000 0.500 0.572 Zn
0.500 0.000 0.214 Zn
0.500 0.500 0.080 Zn
0.000 0.000 0.715 Hg
```

Output
DOS(E_F)	8.56	states/eV/cell
E_form	-306	meV per atom
symmetry	No. 25
calculated total energy	-3.181	eV/atom

Which value of DOS(E_F) does entry 1 give?
18.58 states/eV/cell

Number 2 is which compound?
SmYHg5

Number 5 is which compound?
Sm2Y6Hg

Number 2 is which compound?
SmYHg5